# 1
A plane-wave DFT calculation with GGA-PBE was carried out for NpPd2Au2 after structural relaxation.

The structure in POSCAR format:
```
NpPd2Au2
1.0
-2.978 1.899 -0.815
-1.613 0.443 6.926
7.857 12.755 1.013
Np Pd Au
4 8 8
direct
0.750 0.255 0.606
0.250 0.245 0.106
0.250 0.745 0.394
0.750 0.755 0.894
0.750 0.638 0.537
0.250 0.862 0.037
0.250 0.362 0.463
0.750 0.138 0.963
0.750 0.059 0.434
0.250 0.441 0.934
0.250 0.941 0.566
0.750 0.559 0.066
0.750 0.382 0.797
0.250 0.118 0.297
0.250 0.618 0.203
0.750 0.882 0.703
0.750 0.924 0.185
0.250 0.576 0.685
0.250 0.076 0.815
0.750 0.424 0.315
```

Summary:
energy of formation from the pure elements = -0.133 eV/atom
E_tot = -6.109 eV/atom


# 2
A plane-wave DFT calculation with GGA-PBE was carried out for KRbAuI after structural relaxation.

The structure in POSCAR format:
```
KRbAuI
1.0
-0.082 2.601 -4.183
3.290 -3.621 0.589
-6.664 -6.183 -0.817
K Rb Au I
1 1 1 1
direct
0.299 0.547 0.862
0.974 0.385 0.374
0.477 0.136 0.628
0.128 0.962 0.105
```

Summary:
ΔE_f (raw) = -849 meV/atom
E_tot = -2.572 eV/atom
distance to the lowest polymorph of the same formula = 0.000 eV per atom


# 3
A plane-wave DFT calculation with GGA-PBE was carried out for Na3Sm3AsO8 after structural relaxation.

The structure in POSCAR format:
```
Na3Sm3AsO8
1.0
6.864 0.000 0.000
-3.432 5.945 -0.020
0.000 -3.944 5.600
Na Sm As O
3 3 1 8
direct
0.000 0.000 0.000
0.000 0.500 0.000
0.500 0.500 0.000
0.500 0.000 0.500
0.500 0.500 0.500
0.000 0.500 0.500
0.000 0.000 0.500
0.261 0.522 0.284
0.739 0.478 0.716
0.790 0.580 0.304
0.210 0.420 0.696
0.790 0.014 0.304
0.210 0.986 0.696
0.224 0.014 0.304
0.776 0.986 0.696
```

Summary:
ΔE_f (raw) = -2334 meV/atom
E_tot = -6.496 eV/atom